(1)
Si4Ru2I | PBE | relaxed

```
data_Si4Ru2I
_cell_length_a 5.0195
_cell_length_b 5.0195
_cell_length_c 12.5900
_cell_angle_alpha 90.00
_cell_angle_beta 90.00
_cell_angle_gamma 90.00
_symmetry_space_group_name_H-M 'P 1'
_symmetry_Int_Tables_number 1
_symmetry_space_group_name_Hall 'P 1'
loop_
_atom_site_label
_atom_site_type_symbol
_atom_site_fract_x
_atom_site_fract_y
_atom_site_fract_z
Si1 Si 0.0000 0.0000 0.2304
Si2 Si 0.0000 0.0000 0.7696
Si3 Si 0.0000 0.5000 0.0000
Si4 Si 0.0000 0.5000 0.5000
Si5 Si 0.5000 0.0000 0.0000
Si6 Si 0.5000 0.0000 0.5000
Si7 Si 0.5000 0.5000 0.2696
Si8 Si 0.5000 0.5000 0.7304
Ru1 Ru 0.0000 0.0000 0.4042
Ru2 Ru 0.0000 0.0000 0.5958
Ru3 Ru 0.5000 0.5000 0.0958
Ru4 Ru 0.5000 0.5000 0.9042
I1 I 0.0000 0.0000 0.0000
I2 I 0.5000 0.5000 0.5000
```

Properties
Total DFT energy (no corrections) ... -66.08 eV for the cell shown
Space-group type ... I4/mmm
Formation energy without anion corrections ... 1.25 eV/atom
Size of the total moment ... 0.0 Bohr magnetons per cell


(2)
Sm6SiRu2I3 | PBE | relaxed

```
data_Sm6SiRu2I3
_cell_length_a 7.2701
_cell_length_b 7.2701
_cell_length_c 8.3089
_cell_angle_alpha 98.45
_cell_angle_beta 98.45
_cell_angle_gamma 120.03
_symmetry_space_group_name_H-M 'P 1'
_symmetry_Int_Tables_number 1
_symmetry_space_group_name_Hall 'P 1'
loop_
_atom_site_label
_atom_site_type_symbol
_atom_site_fract_x
_atom_site_fract_y
_atom_site_fract_z
Sm1 Sm 0.0893 0.4385 0.8132
Sm2 Sm 0.2135 0.2135 0.1860
Sm3 Sm 0.4385 0.0893 0.8132
Sm4 Sm 0.5615 0.9107 0.1868
Sm5 Sm 0.7865 0.7865 0.8140
Sm6 Sm 0.9107 0.5615 0.1868
Si1 Si 0.5000 0.5000 0.0000
Ru1 Ru 0.1669 0.8331 0.0000
Ru2 Ru 0.8331 0.1669 0.0000
I1 I 0.0000 0.0000 0.5000
I2 I 0.3366 0.6634 0.5000
I3 I 0.6634 0.3366 0.5000
```

Properties
Total DFT energy (no corrections) ... -65.55 eV for the cell shown
Space-group type ... C2/m
Formation energy without anion corrections ... -0.72 eV/atom
Size of the total moment ... 0.0 Bohr magnetons per cell